Entry 1:
A crystal of TaSiBr2 relaxed with PBEsol, computed with meta-GGA SCAN.

Output
DFT total energy (eV per atom): -28.16
Formation energy from raw total energies (kJ/mol of atoms): 70
SG: Pmmm

Unit cell a=3.057 b=4.605 c=5.382 alpha=90.00 beta=90.00 gamma=90.00
Sites, in units of the cell vectors:
Br1 0.000 0.000 0.000
Br2 0.500 0.000 0.500
Si1 0.500 0.500 0.000
Ta1 0.000 0.500 0.500

***

Entry 2:
A crystal of Si2TcBr relaxed with PBEsol, computed with meta-GGA SCAN.

Output
DFT total energy (eV per atom): -17.73
Formation energy from raw total energies (kJ/mol of atoms): 88
SG: I4/mmm

Unit cell a=3.982 b=3.982 c=4.746 alpha=114.81 beta=114.81 gamma=90.00
Sites, in units of the cell vectors:
Br1 0.000 0.000 0.000
Si1 0.750 0.250 0.500
Si2 0.250 0.750 0.500
Tc1 0.500 0.500 0.000

***

Entry 3:
A crystal of Si2TcBr relaxed with PBEsol, computed with meta-GGA SCAN.

Output
DFT total energy (eV per atom): -17.94
Formation energy from raw total energies (kJ/mol of atoms): 67
SG: Immm

Unit cell a=2.883 b=4.486 c=5.865 alpha=112.48 beta=104.23 gamma=90.00
Sites, in units of the cell vectors:
Br1 0.000 0.500 0.000
Si1 0.802 0.802 0.603
Si2 0.198 0.198 0.397
Tc1 0.500 0.000 0.000

***

Entry 4:
A crystal of SiTcBr relaxed with PBEsol, computed with meta-GGA SCAN.

Output
DFT total energy (eV per atom): -19.93
Formation energy from raw total energies (kJ/mol of atoms): 153
SG: F-43m

Unit cell a=4.275 b=4.275 c=4.275 alpha=60.00 beta=60.00 gamma=60.00
Each line ends with the local moment (μB).
Sites, in units of the cell vectors:
Si1 0.000 0.000 0.000  -0.13
Tc1 0.500 0.500 0.500  2.21
Br1 0.250 0.250 0.250  -0.01

***

Entry 5:
A crystal of SiTcBr relaxed with PBEsol, computed with meta-GGA SCAN.

Output
DFT total energy (eV per atom): -20.88
Formation energy from raw total energies (kJ/mol of atoms): 61
SG: Fmm2

Unit cell a=3.057 b=3.057 c=6.355 alpha=97.18 beta=97.18 gamma=118.73
Sites, in units of the cell vectors:
Si1 0.318 0.318 0.637
Tc1 0.677 0.677 0.353
Br1 0.005 0.005 0.010

***

Entry 6:
A crystal of SiTcBr2 relaxed with PBEsol, computed with meta-GGA SCAN.

Output
DFT total energy (eV per atom): -19.85
Formation energy from raw total energies (kJ/mol of atoms): 111
SG: Fm-3m

Unit cell a=4.605 b=4.605 c=4.605 alpha=60.00 beta=60.00 gamma=60.00
Sites, in units of the cell vectors:
Br1 0.250 0.250 0.250
Br2 0.750 0.750 0.750
Si1 0.000 0.000 0.000
Tc1 0.500 0.500 0.500